A relaxed structure of CsPS3. Source: Alexandria, functional PBE.

Summary:
- Magnetization: 0.0000 μB per atom
- Energy relative to the elements, uncorrected: -0.62 eV/atom
- V: 639.8 Å³ per cell

Cell lengths 6.025, 7.473, 14.210 Å; angles 90.00, 90.00, 90.00 degrees
Fractional coordinates of all 20 atoms:
Cs 0.000 0.500 0.000
Cs 0.500 0.000 0.500
Cs 0.500 0.000 0.000
Cs 0.000 0.500 0.500
P 0.432 0.394 0.750
P 0.068 0.894 0.250
P 0.568 0.606 0.250
P 0.932 0.106 0.750
S 0.001 0.015 0.129
S 0.499 0.515 0.629
S 0.499 0.515 0.871
S 0.999 0.985 0.629
S 0.999 0.985 0.871
S 0.501 0.485 0.371
S 0.501 0.485 0.129
S 0.001 0.015 0.371
S 0.554 0.126 0.750
S 0.946 0.626 0.250
S 0.446 0.874 0.250
S 0.054 0.374 0.750

A relaxed structure of CsPS2. Source: Alexandria, functional PBE.

Summary:
- Magnetization: 0.0014 μB per atom
- Energy relative to the elements, uncorrected: -0.59 eV/atom
- V: 272.8 Å³ per cell

Cell lengths 4.696, 7.404, 8.498 Å; angles 106.04, 105.27, 90.74 degrees
Fractional coordinates of all 8 atoms:
Cs 0.656 0.575 0.931
Cs 0.960 0.934 0.515
P 0.170 0.009 0.014
P 0.368 0.435 0.418
S 0.346 0.128 0.278
S 0.050 0.456 0.547
S 0.777 0.100 0.919
S 0.317 0.601 0.261

A relaxed structure of CsPS6. Source: Alexandria, functional PBE.

Summary:
- Magnetization: 0.0004 μB per atom
- Energy relative to the elements, uncorrected: 0.06 eV/atom
- V: 294.2 Å³ per cell

Cell lengths 3.525, 10.350, 9.167 Å; angles 116.36, 89.62, 99.98 degrees
Fractional coordinates of all 8 atoms:
Cs 0.000 0.000 0.500
P 0.000 0.000 0.000
S 0.497 0.000 0.160
S 0.463 0.381 0.756
S 0.503 0.000 0.840
S 0.918 0.381 0.625
S 0.537 0.619 0.244
S 0.082 0.619 0.375